A relaxed structure of Sm4CuTe3. Source: Alexandria via LeMat-Bulk, functional PBE.

## Properties
The density of states at the Fermi level comes out at 6.1 states/eV per cell. The calculation puts the total energy at -5.12 eV/atom. The formation energy without anion corrections is -8.592 eV/f.u.

The structure in extended XYZ format:
```
8
Lattice="4.270 0.000 0.000 0.000 7.662 0.004 0.000 -2.412 7.272" Properties=species:S:1:pos:R:3 pbc="T T T"
Sm 0.000 1.187 1.645
Sm 2.135 5.235 1.755
Sm 0.000 4.063 5.631
Sm 2.135 0.015 5.521
Cu 2.135 0.000 0.000
Te 0.000 -1.206 3.636
Te 2.135 2.625 3.638
Te 0.000 3.831 0.002
```